#w
LiBiPO2 (PBE, relaxed); size of the total moment = 0.99 μB/f.u.; space-group type = No. 123
1.0
3.9645 0.0000 0.0000
0.0000 3.9645 0.0000
0.0000 0.0000 4.3914
Li Bi P O
1 1 1 2
Cartesian
0.0000 0.0000 0.0000 Li
1.9822 1.9822 2.1957 Bi
0.0000 0.0000 2.1957 P
0.0000 1.9822 0.0000 O
1.9822 0.0000 0.0000 O

#x
LiBiPO2 (PBE, relaxed); size of the total moment = 1.46 μB/f.u.; space-group type = No. 123
1.0
4.2634 0.0000 0.0000
0.0000 4.2634 0.0000
0.0000 0.0000 5.4250
Li Bi P O
1 1 1 2
Cartesian
0.0000 0.0000 0.0000 Li
2.1317 2.1317 2.7125 Bi
2.1317 2.1317 0.0000 P
0.0000 2.1317 2.7125 O
2.1317 0.0000 2.7125 O

Referenced to the most stable arrangement, the calculated values in meV per atom are #w 148; #x 0.